(1)
A relaxed NaCdPb crystal, computed with PBE-GGA.

extended XYZ file:
```
12
Lattice="7.0303 0.0000 -2.5090 0.0000 6.2440 0.0000 -1.8870 0.0000 8.8183" Properties=species:S:1:pos:R:3 pbc="T T T"
Na 3.2201 5.4764 6.0499
Na 0.6485 3.8897 2.8953
Na 1.9232 0.7677 0.2594
Na 4.4948 2.3544 3.4141
Cd 5.9173 2.3705 -2.0823
Cd -0.7740 3.8735 8.3917
Cd 3.6846 5.4926 2.7280
Cd 1.4586 0.7515 3.5813
Pb 1.0269 2.4703 6.1296
Pb 4.1163 3.7737 0.1797
Pb 5.4856 0.6517 0.4660
Pb -0.3423 5.5924 5.8433
```

## Properties
Energy relative to the elements ... -0.2 eV per formula unit

(2)
A relaxed ScTe2Rh crystal, computed with PBE-GGA.

extended XYZ file:
```
4
Lattice="7.1885 1.0175 -0.1214 4.6021 5.6153 0.1214 -5.7627 -3.5521 2.6266" Properties=species:S:1:pos:R:3 pbc="T T T"
Rh 6.0244 3.3890 0.0000
Sc 3.0644 3.0819 1.3740
Te 11.4174 6.4228 0.0000
Te 3.2076 0.1361 1.2526
```

## Properties
Raw formation energy ... -0.62 eV per atom

Summary of DFT total energy in eV per atom
-2.05; -5.61
(order as listed above)
Summary of V in Å³/atom
29.8; 23.5
(order as listed above)